Ac2NdIn6: optimized geometry, PBE-GGA.

Cell and atoms, written as extended XYZ:
```
9
Lattice="3.895 0.000 0.000 0.000 7.702 -4.447 0.000 0.000 8.894" Properties=species:S:1:pos:R:3 pbc="T T T"
In 1.947 2.533 1.462
In 1.947 5.170 2.985
In 1.947 2.533 -1.462
Nd 0.000 0.000 0.000
Ac 0.000 2.567 4.447
In 1.947 5.170 5.909
Ac 3.895 5.135 0.000
In 1.947 0.000 2.925
In 1.947 0.000 5.969
```

Properties
- Total magnetic moment: 0.0 μB/cell
- Formation enthalpy at 0 K: -0.436 eV/atom